Material: LaTaPd2
Method: DFT, GGA-PBE
State: relaxed

density of states at the Fermi level: 2.84 states/eV/cell
space group: No. 122
M_tot: 0.00 μB/cell
ΔH_f (0 K): 0.2107 eV per atom

a b c (Å): 9.1463 9.1463 9.1463
angles (deg): 148.36 148.36 45.35
Closest atoms and distances in Å follow each position.
Atoms (fractional coordinates):
La: 0.0000 0.0000 0.0000  4 Pd 3.16, 4 Ta 3.53
La: 0.7500 0.2500 0.5000  4 Pd 3.16, 4 Ta 3.53
Ta: 0.2500 0.7500 0.5000  4 Pd 2.50
Ta: 0.5000 0.5000 0.0000  4 Pd 2.50
Pd: 0.2748 0.6250 0.1498  2 Ta 2.50, 2 Pd 2.69
Pd: 0.3750 0.5248 0.6498  2 Ta 2.50, 2 Pd 2.69
Pd: 0.4752 0.1250 0.8502  2 Ta 2.50, 2 Pd 2.69
Pd: 0.8750 0.7252 0.3502  2 Ta 2.50, 2 Pd 2.69